A relaxed structure of Ac6SmPt4. Source: Alexandria via LeMat-Bulk, functional PBE.

Cell: 6.377 6.377 10.029 Å, 110.68 110.68 84.57°
Atoms (fractional coordinates):
Sm  0.026  0.026  0.053
Ac  0.080  0.560  0.640
Pt  0.095  0.095  0.709
Ac  0.488  0.993  0.976
Pt  0.379  0.909  0.291
Ac  0.905  0.905  0.354
Ac  0.448  0.448  0.357
Ac  0.560  0.080  0.640
Pt  0.909  0.379  0.291
Ac  0.993  0.488  0.976
Pt  0.617  0.617  0.711

ρ in g/cm3: 10.67
Energy of formation from the pure elements in kJ per mole of atoms: -72
Size of the total moment in μB/atom: 0.0000
D(E_F) in states/eV/cell: 10.17
Symmetry: Cm (8)



A relaxed structure of In5Au4. Source: Alexandria via LeMat-Bulk, functional PBE.

Cell: 6.900 6.900 6.900 Å, 96.78 96.78 139.81°
Atoms (fractional coordinates):
In  0.000  0.000  0.000
In  0.674  0.674  0.347
Au  0.339  0.000  0.339
Au  0.000  0.339  0.339
In  0.674  0.326  0.000
In  0.326  0.326  0.653
Au  0.000  0.661  0.661
In  0.326  0.674  0.000
Au  0.661  0.000  0.661

ρ in g/cm3: 11.36
Energy of formation from the pure elements in kJ per mole of atoms: -2
ΔE to the lowest computed polymorph in meV/atom: 76.0
Size of the total moment in μB/atom: 0.0000
D(E_F) in states/eV/cell: 3.78
Symmetry: I4/mmm (139)



A relaxed structure of DyAl4CuPt2. Source: Alexandria via LeMat-Bulk, functional PBE.

Cell: 4.257 4.257 8.951 Å, 76.24 76.24 60.00°
Atoms (fractional coordinates):
Pt  0.238  0.238  0.285
Al  0.597  0.597  0.208
Al  0.867  0.867  0.398
Cu  0.500  0.500  0.500
Al  0.403  0.403  0.792
Dy  0.000  0.000  0.000
Al  0.133  0.133  0.602
Pt  0.762  0.762  0.715

ρ in g/cm3: 8.90
Energy of formation from the pure elements in kJ per mole of atoms: -73
Size of the total moment in μB/atom: 0.0000
D(E_F) in states/eV/cell: 2.71
Symmetry: R-3m (166)



A relaxed structure of ReSiBr2. Source: Alexandria via LeMat-Bulk, functional PBE.

Cell: 9.846 9.846 9.846 Å, 18.05 18.05 18.05°
Atoms (fractional coordinates):
Re  0.000  0.000  0.000
Si  0.500  0.500  0.500
Br  0.917  0.917  0.917
Br  0.083  0.083  0.083

Formation energy without anion corrections in eV/atom: 0.888
ρ in g/cm3: 7.76
ΔE to the lowest computed polymorph in meV/atom: 751.8
Size of the total moment in μB/atom: 0.0001
D(E_F) in states/eV/cell: 3.22
Symmetry: R-3m (166)



A relaxed structure of Pr2Ho2Zn3. Source: Alexandria via LeMat-Bulk, functional PBE.

Cell: 5.054 5.040 8.863 Å, 90.09 106.57 120.10°
Atoms (fractional coordinates):
Pr  0.748  0.874  0.622
Ho  0.750  0.375  0.125
Ho  0.250  0.625  0.875
Pr  0.252  0.126  0.378
Zn  0.000  0.000  0.000
Zn  0.489  0.744  0.233
Zn  0.511  0.256  0.767

ρ in g/cm3: 7.28
Energy of formation from the pure elements in kJ per mole of atoms: -19
Size of the total moment in μB/atom: 0.0000
D(E_F) in states/eV/cell: 9.42
Symmetry: C2/m (12)



A relaxed structure of CePmY2. Source: Alexandria via LeMat-Bulk, functional PBE.

Cell: 3.581 3.581 11.763 Å, 81.24 81.24 60.00°
Site moments in Bohr magnetons follow the coordinates.
Atoms (fractional coordinates):
Pm  0.501  0.501  0.498  -0.01
Ce  0.666  0.666  0.001  0.56
Y  0.081  0.081  0.756  -0.01
Y  0.252  0.252  0.244  0.00

ρ in g/cm3: 5.98
Energy of formation from the pure elements in kJ per mole of atoms: 5
ΔE to the lowest computed polymorph in meV/atom: 0.0
Size of the total moment in μB/atom: 0.1651
D(E_F) in states/eV/cell: 8.44
Symmetry: R3m (160)



A relaxed structure of CsNbNi2I. Source: Alexandria via LeMat-Bulk, functional PBE.

Cell: 4.947 5.616 4.947 Å, 90.00 90.00 90.00°
Atoms (fractional coordinates):
Nb  0.000  0.000  0.000
Ni  0.000  0.000  0.500
Ni  0.500  0.000  0.000
I  0.000  0.500  0.000
Cs  0.500  0.500  0.500

Formation energy without anion corrections in eV/atom: 0.614
ρ in g/cm3: 5.68
Size of the total moment in μB/atom: 0.0001
D(E_F) in states/eV/cell: 5.11
Symmetry: P4/mmm (123)



A relaxed structure of HfAl3Ru4. Source: Alexandria via LeMat-Bulk, functional PBE.

Cell: 3.120 4.319 8.602 Å, 90.00 90.00 90.00°
Atoms (fractional coordinates):
Ru  0.000  0.500  0.740
Al  0.500  0.500  0.500
Hf  0.500  0.500  0.000
Ru  0.000  0.000  0.000
Al  0.500  0.000  0.745
Ru  0.000  0.500  0.260
Al  0.500  0.000  0.255
Ru  0.000  0.000  0.500

ρ in g/cm3: 9.51
Energy of formation from the pure elements in kJ per mole of atoms: -67
Size of the total moment in μB/atom: 0.0000
D(E_F) in states/eV/cell: 7.58
Symmetry: Pmmm (47)



A relaxed structure of Pm6Ga2O. Source: Alexandria via LeMat-Bulk, functional PBE.

Cell: 3.638 8.961 8.612 Å, 121.35 90.00 90.00°
Atoms (fractional coordinates):
O  0.500  0.846  0.000
Pm  0.500  0.026  0.583
Pm  0.000  0.009  0.224
Pm  0.500  0.442  0.417
Pm  0.500  0.591  0.000
Pm  0.000  0.786  0.776
Pm  0.000  0.258  0.000
Ga  0.000  0.693  0.344
Ga  0.000  0.349  0.656

Formation energy without anion corrections in eV/atom: -0.757
ρ in g/cm3: 7.10
Size of the total moment in μB/atom: 0.0001
D(E_F) in states/eV/cell: 9.72
Symmetry: Amm2 (38)



A relaxed structure of SrMg2Se. Source: Alexandria via LeMat-Bulk, functional PBE.

Cell: 4.328 7.135 4.322 Å, 72.21 90.49 107.81°
Atoms (fractional coordinates):
Mg  0.500  0.000  0.500
Mg  0.000  0.000  0.000
Se  0.000  0.500  0.500
Sr  0.500  0.500  0.000

Formation energy without anion corrections in eV/atom: -0.616
ρ in g/cm3: 2.97
Size of the total moment in μB/atom: 0.0000
D(E_F) in states/eV/cell: 0.72
Symmetry: Fmmm (69)



A relaxed structure of Th2ZrHg. Source: Alexandria via LeMat-Bulk, functional PBE.

Cell: 4.787 4.767 4.767 Å, 90.00 90.00 90.00°
Atoms (fractional coordinates):
Hg  0.500  0.500  0.500
Zr  0.500  0.000  0.000
Th  0.000  0.000  0.500
Th  0.000  0.500  0.000

ρ in g/cm3: 11.54
Energy of formation from the pure elements in kJ per mole of atoms: -3
ΔE to the lowest computed polymorph in meV/atom: 0.0
Size of the total moment in μB/atom: 0.0000
D(E_F) in states/eV/cell: 4.82
Symmetry: P4/mmm (123)



A relaxed structure of K2LaBr. Source: Alexandria via LeMat-Bulk, functional PBE.

Cell: 4.076 4.076 12.519 Å, 81.19 81.19 59.98°
Site moments in Bohr magnetons follow the coordinates.
Atoms (fractional coordinates):
Br  0.245  0.245  0.261  0.00
K  0.761  0.761  0.735  0.01
La  0.523  0.523  0.438  0.23
K  0.972  0.972  0.066  0.00

Formation energy without anion corrections in eV/atom: -0.555
ρ in g/cm3: 2.78
ΔE to the lowest computed polymorph in meV/atom: 2.2
Size of the total moment in μB/atom: 0.1786
D(E_F) in states/eV/cell: 3.60
Symmetry: Cm (8)



Question: Look up the ρ of the twelfth one.
Answer: 2.78 g/cm3